# 1
Computed, not measured: a geometry-optimized TmScPbSe3 structure at the GGA-PBE level of DFT.

a b c (Å): 8.004 8.004 11.000
angles (deg): 90.00 90.00 151.95
Last column: magnetic moment on the atom in μB.
Fractional coordinates of all 12 atoms:
Tm 0.118 0.882 0.750  0.22
Se 0.492 0.508 0.750  0.01
Pb 0.205 0.795 0.250  0.16
Pb 0.795 0.205 0.750  0.16
Se 0.124 0.876 0.501  0.01
Tm 0.882 0.118 0.250  0.22
Sc 0.500 0.500 0.000  0.08
Se 0.124 0.876 0.999  0.01
Sc 0.500 0.500 0.500  0.08
Se 0.508 0.492 0.250  0.01
Se 0.876 0.124 0.001  0.01
Se 0.876 0.124 0.499  0.01

Calculated values
SG: Cmcm
Crystal system: orthorhombic

=====

# 2
Computed, not measured: a geometry-optimized HfI2 structure at the GGA-PBE level of DFT.

a b c (Å): 6.508 6.508 6.508
angles (deg): 60.00 60.00 60.00
Last column: magnetic moment on the atom in μB.
Fractional coordinates of all 6 atoms:
Hf 0.000 0.000 0.000  0.49
I 0.625 0.125 0.625  0.00
I 0.625 0.625 0.125  0.00
I 0.125 0.625 0.625  -0.01
I 0.625 0.625 0.625  0.00
Hf 0.250 0.250 0.250  0.49

Calculated values
SG: Fd-3m
Crystal system: cubic

=====

# 3
Computed, not measured: a geometry-optimized TmScH2Br2 structure at the GGA-PBE level of DFT.

a b c (Å): 3.665 3.665 9.945
angles (deg): 100.31 100.31 60.00
Fractional coordinates of all 6 atoms:
Tm 0.124 0.124 0.369
Br 0.601 0.601 0.812
Br 0.395 0.395 0.177
H 0.195 0.195 0.587
H 0.808 0.808 0.423
Sc 0.876 0.876 0.632

Calculated values
SG: Cm
Crystal system: monoclinic

=====

# 4
Computed, not measured: a geometry-optimized Cs2Ag structure at the GGA-PBE level of DFT.

a b c (Å): 11.286 11.286 11.286
angles (deg): 60.00 60.00 60.00
Fractional coordinates of all 6 atoms:
Ag 0.500 0.500 0.500
Cs 0.375 0.875 0.375
Ag 0.250 0.250 0.250
Cs 0.375 0.375 0.375
Cs 0.875 0.375 0.375
Cs 0.375 0.375 0.875

Calculated values
SG: Fd-3m
Crystal system: cubic

=====

# 5
Computed, not measured: a geometry-optimized HoTm2Fe2Co7 structure at the GGA-PBE level of DFT.

a b c (Å): 8.394 8.394 8.394
angles (deg): 34.79 34.79 34.79
Last column: magnetic moment on the atom in μB.
Fractional coordinates of all 12 atoms:
Co 0.416 0.920 0.416  1.35
Co 0.080 0.584 0.584  1.22
Ho 0.000 0.000 0.000  -0.33
Tm 0.859 0.859 0.859  -0.41
Co 0.416 0.416 0.920  1.25
Co 0.500 0.500 0.500  1.40
Fe 0.334 0.334 0.334  2.48
Co 0.584 0.080 0.584  1.35
Co 0.584 0.584 0.080  1.25
Fe 0.666 0.666 0.666  2.48
Co 0.920 0.416 0.416  1.22
Tm 0.141 0.141 0.141  -0.41

Calculated values
SG: R-3m
Crystal system: trigonal
ΔH_f (0 K): -0.22 eV/atom

=====

# 6
Computed, not measured: a geometry-optimized ThGaIr structure at the GGA-PBE level of DFT.

a b c (Å): 7.248 7.248 4.111
angles (deg): 90.00 90.00 120.00
Fractional coordinates of all 9 atoms:
Th 0.585 0.000 0.500
Ga 0.235 0.000 0.000
Th 0.415 0.415 0.500
Th 0.000 0.585 0.500
Ir 0.333 0.667 0.000
Ga 0.000 0.235 0.000
Ir 0.667 0.333 0.000
Ir 0.000 0.000 0.500
Ga 0.765 0.765 0.000

Calculated values
SG: P-62m
Crystal system: hexagonal

=====

# 7
Computed, not measured: a geometry-optimized BaBeMoOs structure at the GGA-PBE level of DFT.

a b c (Å): 4.685 4.685 4.685
angles (deg): 60.00 60.00 60.00
Fractional coordinates of all 4 atoms:
Mo 0.250 0.250 0.250
Ba 0.000 0.000 0.000
Be 0.750 0.750 0.750
Os 0.500 0.500 0.500

Calculated values
SG: F-43m
Crystal system: cubic

=====

# 8
Computed, not measured: a geometry-optimized TaW structure at the GGA-PBE level of DFT.

a b c (Å): 5.369 5.369 17.077
angles (deg): 90.00 90.00 120.00
Fractional coordinates of all 24 atoms:
Ta 0.500 0.500 0.000
W 0.333 0.667 0.846
Ta 0.500 0.000 0.000
W 0.000 0.000 0.401
Ta 0.000 0.500 0.500
W 0.667 0.333 0.876
W 0.000 0.000 0.099
W 0.667 0.333 0.624
Ta 0.836 0.164 0.750
W 0.000 0.000 0.901
W 0.333 0.667 0.654
Ta 0.500 0.000 0.500
Ta 0.836 0.673 0.750
W 0.333 0.667 0.376
Ta 0.164 0.327 0.250
Ta 0.000 0.500 0.000
W 0.333 0.667 0.124
Ta 0.673 0.836 0.250
Ta 0.500 0.500 0.500
Ta 0.164 0.836 0.250
Ta 0.327 0.164 0.750
W 0.667 0.333 0.346
W 0.000 0.000 0.599
W 0.667 0.333 0.154

Calculated values
SG: P6_3/mmc
Crystal system: hexagonal
ΔH_f (0 K): 0.41 eV/atom

=====

# 9
Computed, not measured: a geometry-optimized BeHgW structure at the GGA-PBE level of DFT.

a b c (Å): 4.078 4.078 4.078
angles (deg): 60.00 60.00 60.00
Fractional coordinates of all 3 atoms:
Be 0.000 0.000 0.000
Hg 0.250 0.250 0.250
W 0.750 0.750 0.750

Calculated values
SG: F-43m
Crystal system: cubic

=====

# 10
Computed, not measured: a geometry-optimized Dy3Y4Se8 structure at the GGA-PBE level of DFT.

a b c (Å): 8.115 8.115 8.116
angles (deg): 119.99 119.99 90.00
Fractional coordinates of all 15 atoms:
Se 0.746 0.254 0.500
Y 0.500 0.500 0.000
Y 0.500 0.000 0.500
Se 0.250 0.750 0.000
Se 0.747 0.747 0.501
Dy 0.000 0.500 0.000
Se 0.747 0.747 0.993
Se 0.254 0.746 0.500
Se 0.253 0.253 0.499
Se 0.253 0.253 0.007
Se 0.750 0.250 0.000
Y 0.000 0.000 0.500
Dy 0.000 0.000 0.000
Y 0.000 0.500 0.500
Dy 0.500 0.000 0.000

Calculated values
SG: C2/m
Crystal system: monoclinic

=====

# 11
Computed, not measured: a geometry-optimized GaOs2Pd structure at the GGA-PBE level of DFT.

a b c (Å): 4.375 4.375 4.375
angles (deg): 60.00 60.00 60.00
Last column: magnetic moment on the atom in μB.
Fractional coordinates of all 4 atoms:
Ga 0.500 0.500 0.500  0.01
Os 0.750 0.750 0.750  0.16
Os 0.000 0.000 0.000  0.26
Pd 0.250 0.250 0.250  0.05

Calculated values
SG: F-43m
Crystal system: cubic

=====

# 12
Computed, not measured: a geometry-optimized AlNiAgPt structure at the GGA-PBE level of DFT.

a b c (Å): 4.356 4.356 4.356
angles (deg): 60.00 60.00 60.00
Fractional coordinates of all 4 atoms:
Ni 0.750 0.750 0.750
Ag 0.500 0.500 0.500
Pt 0.250 0.250 0.250
Al 0.000 0.000 0.000

Calculated values
SG: F-43m
Crystal system: cubic

=====

# 13
Computed, not measured: a geometry-optimized SmZnTe structure at the GGA-PBE level of DFT.

a b c (Å): 5.089 5.089 5.089
angles (deg): 60.00 60.00 60.00
Fractional coordinates of all 3 atoms:
Zn 0.750 0.750 0.750
Sm 0.000 0.000 0.000
Te 0.250 0.250 0.250

Calculated values
SG: F-43m
Crystal system: cubic

=====

# 14
Computed, not measured: a geometry-optimized AlZnMo structure at the GGA-PBE level of DFT.

a b c (Å): 4.275 4.275 4.275
angles (deg): 60.00 60.00 60.00
Fractional coordinates of all 3 atoms:
Mo 0.000 0.000 0.000
Zn 0.750 0.750 0.750
Al 0.250 0.250 0.250

Calculated values
SG: F-43m
Crystal system: cubic

=====

# 15
Computed, not measured: a geometry-optimized Cu15Te structure at the GGA-PBE level of DFT.

a b c (Å): 4.384 31.644 4.387
angles (deg): 90.00 108.36 90.00
Fractional coordinates of all 32 atoms:
Cu 0.500 0.278 0.250
Cu 0.000 0.724 0.250
Cu 0.500 0.197 0.250
Cu 0.000 0.683 0.750
Cu 0.500 0.439 0.250
Cu 0.000 0.642 0.250
Cu 0.500 0.480 0.750
Cu 0.000 0.276 0.750
Cu 0.500 0.399 0.750
Cu 0.000 0.398 0.250
Te 0.000 0.180 0.750
Cu 0.000 0.439 0.750
Cu 0.000 0.480 0.250
Cu 0.000 0.561 0.250
Te 0.000 0.820 0.250
Cu 0.500 0.641 0.750
Cu 0.000 0.765 0.750
Cu 0.500 0.235 0.750
Cu 0.000 0.317 0.250
Cu 0.500 0.317 0.750
Cu 0.500 0.520 0.250
Cu 0.500 0.359 0.250
Cu 0.500 0.765 0.250
Cu 0.500 0.561 0.750
Cu 0.500 0.722 0.750
Cu 0.000 0.235 0.250
Cu 0.000 0.520 0.750
Cu 0.500 0.601 0.250
Cu 0.000 0.358 0.750
Cu 0.000 0.602 0.750
Cu 0.500 0.683 0.250
Cu 0.500 0.803 0.750

Calculated values
SG: P2/c
Crystal system: monoclinic

=====

# 16
Computed, not measured: a geometry-optimized PmAlRe structure at the GGA-PBE level of DFT.

a b c (Å): 4.740 4.740 4.740
angles (deg): 60.00 60.00 60.00
Last column: magnetic moment on the atom in μB.
Fractional coordinates of all 3 atoms:
Re 0.000 0.000 0.000  1.11
Pm 0.250 0.250 0.250  -0.05
Al 0.500 0.500 0.500  -0.03

Calculated values
SG: F-43m
Crystal system: cubic

=====

# 17
Computed, not measured: a geometry-optimized Lu2BiN structure at the GGA-PBE level of DFT.

a b c (Å): 6.061 6.061 15.386
angles (deg): 101.43 101.43 59.97
Fractional coordinates of all 24 atoms:
Lu 0.139 0.306 0.417
Lu 0.805 0.972 0.417
Lu 0.361 0.528 0.083
Lu 0.195 0.028 0.583
N 0.833 0.334 0.500
Bi 0.919 0.081 0.750
Lu 0.528 0.361 0.583
Bi 0.415 0.252 0.250
N 0.334 0.833 0.000
Lu 0.972 0.805 0.917
Lu 0.694 0.861 0.083
Bi 0.585 0.748 0.750
Lu 0.861 0.694 0.583
Lu 0.639 0.472 0.917
N 0.500 0.000 0.500
Lu 0.028 0.195 0.083
N 0.000 0.500 0.000
Bi 0.748 0.585 0.250
N 0.666 0.167 0.000
Lu 0.472 0.639 0.417
N 0.167 0.666 0.500
Bi 0.252 0.415 0.750
Bi 0.081 0.919 0.250
Lu 0.306 0.139 0.917

Calculated values
SG: C2/c
Crystal system: monoclinic

=====

# 18
Computed, not measured: a geometry-optimized YAlCoRe structure at the GGA-PBE level of DFT.

a b c (Å): 4.507 4.507 4.507
angles (deg): 60.00 60.00 60.00
Fractional coordinates of all 4 atoms:
Y 0.500 0.500 0.500
Re 0.250 0.250 0.250
Al 0.000 0.000 0.000
Co 0.750 0.750 0.750

Calculated values
SG: F-43m
Crystal system: cubic

=====

# 19
Computed, not measured: a geometry-optimized CsSrNi structure at the GGA-PBE level of DFT.

a b c (Å): 5.492 5.492 5.492
angles (deg): 60.00 60.00 60.00
Fractional coordinates of all 3 atoms:
Cs 0.250 0.250 0.250
Ni 0.000 0.000 0.000
Sr 0.750 0.750 0.750

Calculated values
SG: F-43m
Crystal system: cubic

=====

# 20
Computed, not measured: a geometry-optimized LiLuNi structure at the GGA-PBE level of DFT.

a b c (Å): 4.229 4.229 4.229
angles (deg): 60.00 60.00 60.00
Fractional coordinates of all 3 atoms:
Ni 0.750 0.750 0.750
Lu 0.250 0.250 0.250
Li 0.000 0.000 0.000

Calculated values
SG: F-43m
Crystal system: cubic

=====

| no. | electronic total energy (eV per atom) |
| --- | --- |
| 1 | -5.353 |
| 2 | -3.023 |
| 3 | -4.665 |
| 4 | -1.185 |
| 5 | -6.873 |
| 6 | -7.355 |
| 7 | -5.788 |
| 8 | -11.997 |
| 9 | -4.668 |
| 10 | -6.346 |
| 11 | -7.352 |
| 12 | -4.876 |
| 13 | -3.492 |
| 14 | -4.626 |
| 15 | -3.655 |
| 16 | -5.607 |
| 17 | -6.456 |
| 18 | -7.258 |
| 19 | -2.154 |
| 20 | -3.766 |